No. 1
VASP calculation (PBE-GGA) on a geometry-optimized LiMo2Ir structure.

a b c (Å): 4.9599 4.9599 4.9599
angles (deg): 136.21 136.21 63.66
Sites, in units of the cell vectors:
Li (0.0000, 0.0000, 0.0000)
Mo (0.2500, 0.7500, 0.5000)
Mo (0.7500, 0.2500, 0.5000)
Ir (0.5000, 0.5000, 0.0000)

Results
Size of the total moment ... 0.00 μB/f.u.
Space group ... I4/mmm
Crystal system ... tetragonal
Energy relative to the elements ... 0.1194 eV/atom
ΔE to the lowest computed polymorph ... 99 meV/atom



No. 2
VASP calculation (PBE-GGA) on a geometry-optimized LiNiMo2Ir structure.

a b c (Å): 4.7528 4.7528 4.6894
angles (deg): 90.00 90.00 90.00
Sites, in units of the cell vectors:
Li (0.0000, 0.0000, 0.0000)
Ni (0.5000, 0.5000, 0.0000)
Mo (0.0000, 0.5000, 0.5000)
Mo (0.5000, 0.0000, 0.5000)
Ir (0.5000, 0.5000, 0.5000)

Results
Size of the total moment ... 1.92 μB/f.u.
Space group ... P4/mmm
Crystal system ... tetragonal
Energy relative to the elements ... 1.3402 eV/atom



No. 3
VASP calculation (PBE-GGA) on a geometry-optimized Li2NiMoIr structure.

a b c (Å): 3.9595 3.9595 4.6387
angles (deg): 90.00 90.00 90.00
Sites, in units of the cell vectors:
Li (0.0000, 0.5000, 0.0000)
Li (0.5000, 0.0000, 0.0000)
Ni (0.0000, 0.0000, 0.0000)
Mo (0.0000, 0.0000, 0.5000)
Ir (0.5000, 0.5000, 0.5000)

Results
Size of the total moment ... 0.00 μB/f.u.
Space group ... P4/mmm
Crystal system ... tetragonal
Energy relative to the elements ... 0.7605 eV/atom



Across the entries above, uncorrected energy takes the values -7.990, -6.303, -5.100 eV per atom, respectively.